DyBe2Si, optimized geometry, DFT GGA-PBE; total magnetization = 0.0 μB per formula unit; crystal system = trigonal; SG = No. 166; formation energy (no corrections) = -245 meV per atom; N(E_F) = 1.76 states/eV per cell
1.0
-0.300 2.319 2.960
-2.376 -0.828 2.810
2.658 -1.953 4.203
Be Si Dy
2 1 1
direct
0.298 0.298 0.106 Be
0.702 0.702 0.894 Be
0.000 0.000 0.000 Si
0.500 0.500 0.500 Dy